# 1
BeInI2N: optimized geometry, PBE.

Calculated values
Energy above the most stable polymorph in this dataset (meV/atom): 902.3

The structure in CIF format:
```
data_BeInI2N
_chemical_formula_sum 'Be1 In1 I2 N1'
_cell_length_a 5.975
_cell_length_b 5.975
_cell_length_c 4.212
_cell_angle_alpha 90.00
_cell_angle_beta 90.00
_cell_angle_gamma 90.00
_space_group_name_H-M_alt 'P 4/m m m'
_space_group_IT_number 123
_space_group_name_Hall '-P 4 2'
loop_
_atom_site_label
_atom_site_fract_x
_atom_site_fract_y
_atom_site_fract_z
Be1 0.000 0.000 0.000
In1 0.500 0.500 0.500
I1 0.000 0.500 0.500
N1 0.500 0.500 0.000
```

# 2
NaBeInI4: optimized geometry, PBE.

The structure in CIF format:
```
data_NaBeInI4
_chemical_formula_sum 'Na2 Be2 In2 I8'
_cell_length_a 7.548
_cell_length_b 7.928
_cell_length_c 9.164
_cell_angle_alpha 90.00
_cell_angle_beta 107.51
_cell_angle_gamma 90.00
_space_group_name_H-M_alt 'P 1 21/m 1'
_space_group_IT_number 11
_space_group_name_Hall '-P 2yb'
loop_
_atom_site_label
_atom_site_fract_x
_atom_site_fract_y
_atom_site_fract_z
Na1 0.243 0.250 0.059
Be1 0.224 0.750 0.812
In1 0.244 0.250 0.567
I1 0.015 0.508 0.763
I2 0.409 0.750 0.637
I3 0.414 0.750 0.077
```

# 3
BeInIO2: optimized geometry, PBE.

Calculated values
Energy above the most stable polymorph in this dataset (meV/atom): 190.7

The structure in CIF format:
```
data_BeInIO2
_chemical_formula_sum 'Be1 In1 I1 O2'
_cell_length_a 4.026
_cell_length_b 4.026
_cell_length_c 5.957
_cell_angle_alpha 90.00
_cell_angle_beta 90.00
_cell_angle_gamma 90.00
_space_group_name_H-M_alt 'P 4/m m m'
_space_group_IT_number 123
_space_group_name_Hall '-P 4 2'
loop_
_atom_site_label
_atom_site_fract_x
_atom_site_fract_y
_atom_site_fract_z
Be1 0.000 0.000 0.000
In1 0.500 0.500 0.500
I1 0.500 0.500 0.000
O1 0.000 0.500 0.500
```

# 4
BeInIO2: optimized geometry, PBE.

Calculated values
Energy above the most stable polymorph in this dataset (meV/atom): 0.0

The structure in CIF format:
```
data_BeInIO2
_chemical_formula_sum 'Be1 In1 I1 O2'
_cell_length_a 3.925
_cell_length_b 3.925
_cell_length_c 5.294
_cell_angle_alpha 90.00
_cell_angle_beta 90.00
_cell_angle_gamma 90.00
_space_group_name_H-M_alt 'P 4/m m m'
_space_group_IT_number 123
_space_group_name_Hall '-P 4 2'
loop_
_atom_site_label
_atom_site_fract_x
_atom_site_fract_y
_atom_site_fract_z
Be1 0.000 0.000 0.000
In1 0.500 0.500 0.500
I1 0.000 0.000 0.500
O1 0.000 0.500 0.000
```

Computed values of electronic total energy (unit: eV per formula unit) for the preceding records, in sequence: -12.49; -18.96; -17.64; -18.59.
Computed values of formation energy (no corrections) (unit: eV/atom) for the preceding records, in sequence: 1.080; -0.711; 0.058; -0.132.